Record 1
First-principles (PBE-GGA) data for a geometry-optimized ErUZn structure, as listed in OQMD.

* ΔE to the lowest computed polymorph: 0 meV/atom
* crystal system: cubic
* energy of formation: 61 kJ per mole of atoms

Cell lengths 4.8213, 4.8213, 4.8213 Å; angles 60.00, 60.00, 60.00 degrees
Positions (direct):
Er 0.0000 0.0000 0.0000
U 0.5000 0.5000 0.5000
Zn 0.2500 0.2500 0.2500

Record 2
First-principles (PBE-GGA) data for a geometry-optimized Er2W structure, as listed in OQMD.

* ΔE to the lowest computed polymorph: 1096 meV/atom
* crystal system: cubic
* energy of formation: 227 kJ per mole of atoms

Cell lengths 8.3737, 8.3737, 8.3737 Å; angles 60.00, 60.00, 60.00 degrees
Positions (direct):
Er 0.0000 0.0000 0.0000
Er 0.0000 0.0000 0.5000
Er 0.0000 0.5000 0.0000
Er 0.5000 0.0000 0.0000
W 0.1250 0.1250 0.1250
W 0.8750 0.8750 0.8750

Record 3
First-principles (PBE-GGA) data for a geometry-optimized Er2W structure, as listed in OQMD.

* ΔE to the lowest computed polymorph: 0 meV/atom
* crystal system: cubic
* energy of formation: 121 kJ per mole of atoms

Cell lengths 5.8194, 5.8194, 5.8194 Å; angles 60.00, 60.00, 60.00 degrees
Positions (direct):
Er 0.0000 0.0000 0.0000
Er 0.0000 0.0000 0.5000
Er 0.0000 0.5000 0.0000
Er 0.5000 0.0000 0.0000
W 0.3750 0.3750 0.3750
W 0.6250 0.6250 0.6250

Record 4
First-principles (PBE-GGA) data for a geometry-optimized ErZnW structure, as listed in OQMD.

* ΔE to the lowest computed polymorph: 653 meV/atom
* crystal system: cubic
* energy of formation: 138 kJ per mole of atoms

Cell lengths 4.6898, 4.6898, 4.6898 Å; angles 60.00, 60.00, 60.00 degrees
Positions (direct):
Er 0.0000 0.0000 0.0000
Zn 0.2500 0.2500 0.2500
W 0.7500 0.7500 0.7500

Record 5
First-principles (PBE-GGA) data for a geometry-optimized ErZnW structure, as listed in OQMD.

* ΔE to the lowest computed polymorph: 0 meV/atom
* crystal system: cubic
* energy of formation: 75 kJ per mole of atoms

Cell lengths 4.4699, 4.4699, 4.4699 Å; angles 60.00, 60.00, 60.00 degrees
Positions (direct):
Er 0.0000 0.0000 0.0000
Zn 0.2500 0.2500 0.2500
W 0.5000 0.5000 0.5000

Record 6
First-principles (PBE-GGA) data for a geometry-optimized YEr7 structure, as listed in OQMD.

* crystal system: hexagonal
* energy of formation: 0 kJ per mole of atoms

Cell lengths 7.1717, 7.1717, 5.5576 Å; angles 90.00, 90.00, 120.00 degrees
Positions (direct):
Y 0.0000 0.0000 0.0000
Er 0.3333 0.6667 0.5000
Er 0.3351 0.1675 0.5000
Er 0.5006 0.0012 0.0000
Er 0.5006 0.4994 0.0000
Er 0.8325 0.1675 0.5000
Er 0.8325 0.6649 0.5000
Er 0.9988 0.4994 0.0000

Record 7
First-principles (PBE-GGA) data for a geometry-optimized Y5Er3 structure, as listed in OQMD.

* crystal system: orthorhombic
* energy of formation: 0 kJ per mole of atoms

Cell lengths 5.6168, 7.2409, 7.2409 Å; angles 60.00, 90.00, 90.00 degrees
Positions (direct):
Y 0.0000 0.0000 0.0000
Y 0.0000 0.4982 0.9988
Y 0.0000 0.9988 0.4982
Y 0.5000 0.1674 0.6656
Y 0.5000 0.6656 0.1674
Er 0.0000 0.5000 0.5000
Er 0.5000 0.1657 0.1657
Er 0.5000 0.6653 0.6653

Record 8
First-principles (PBE-GGA) data for a geometry-optimized Y3Er5 structure, as listed in OQMD.

* crystal system: hexagonal
* energy of formation: 0 kJ per mole of atoms

Cell lengths 7.2080, 7.2080, 5.5936 Å; angles 90.00, 90.00, 120.00 degrees
Positions (direct):
Y 0.0002 0.5001 0.0000
Y 0.4999 0.9998 0.0000
Y 0.4999 0.5001 0.0000
Er 0.0000 0.0000 0.0000
Er 0.3320 0.1660 0.5000
Er 0.3333 0.6667 0.5000
Er 0.8340 0.1660 0.5000
Er 0.8340 0.6680 0.5000

Record 9
First-principles (PBE-GGA) data for a geometry-optimized YErZn structure, as listed in OQMD.

* ΔE to the lowest computed polymorph: 257 meV/atom
* crystal system: cubic
* energy of formation: 1 kJ per mole of atoms

Cell lengths 4.9264, 4.9264, 4.9264 Å; angles 60.00, 60.00, 60.00 degrees
Positions (direct):
Y 0.0000 0.0000 0.0000
Er 0.5000 0.5000 0.5000
Zn 0.7500 0.7500 0.7500

Record 10
First-principles (PBE-GGA) data for a geometry-optimized YErZn structure, as listed in OQMD.

* ΔE to the lowest computed polymorph: 0 meV/atom
* crystal system: orthorhombic
* energy of formation: -24 kJ per mole of atoms

Cell lengths 6.8121, 4.9596, 8.9887 Å; angles 90.00, 90.00, 90.00 degrees
Positions (direct):
Y 0.0173 0.2500 0.1917
Y 0.4827 0.7500 0.6917
Y 0.5173 0.2500 0.3083
Y 0.9827 0.7500 0.8083
Er 0.1629 0.2500 0.5748
Er 0.3371 0.7500 0.0748
Er 0.6629 0.2500 0.9252
Er 0.8371 0.7500 0.4252
Zn 0.2331 0.2500 0.8983
Zn 0.2669 0.7500 0.3983
Zn 0.7331 0.2500 0.6017
Zn 0.7669 0.7500 0.1017

Record 11
First-principles (PBE-GGA) data for a geometry-optimized YErZn4 structure, as listed in OQMD.

* crystal system: monoclinic
* energy of formation: -38 kJ per mole of atoms

Cell lengths 3.4852, 4.4489, 7.6959 Å; angles 90.00, 90.00, 90.00 degrees
Positions (direct):
Y 0.0000 0.0000 0.0000
Er 0.0000 0.5000 0.5000
Zn 0.4978 0.0000 0.3346
Zn 0.4979 0.5000 0.8318
Zn 0.5022 0.0000 0.6654
Zn 0.5021 0.5000 0.1682

Record 12
First-principles (PBE-GGA) data for a geometry-optimized YErZr structure, as listed in OQMD.

* ΔE to the lowest computed polymorph: 0 meV/atom
* crystal system: cubic
* energy of formation: 77 kJ per mole of atoms

Cell lengths 5.2102, 5.2102, 5.2102 Å; angles 60.00, 60.00, 60.00 degrees
Positions (direct):
Y 0.0000 0.0000 0.0000
Er 0.5000 0.5000 0.5000
Zr 0.7500 0.7500 0.7500

Record 13
First-principles (PBE-GGA) data for a geometry-optimized ErZn structure, as listed in OQMD.

* crystal system: orthorhombic
* energy of formation: -20 kJ per mole of atoms

Cell lengths 4.3996, 10.8857, 5.6853 Å; angles 90.00, 90.00, 90.00 degrees
Positions (direct):
Er 0.0000 0.0915 0.0000
Er 0.0000 0.3992 0.7843
Er 0.0000 0.6008 0.2843
Er 0.0000 0.9085 0.5000
Er 0.5000 0.1565 0.5194
Er 0.5000 0.8435 0.0194
Zn 0.0000 0.3099 0.3045
Zn 0.0000 0.6901 0.8045
Zn 0.5000 0.2875 0.0343
Zn 0.5000 0.4361 0.4204
Zn 0.5000 0.5639 0.9204
Zn 0.5000 0.7125 0.5343

Record 14
First-principles (PBE-GGA) data for a geometry-optimized ErZn structure, as listed in OQMD.

* crystal system: hexagonal
* energy of formation: 7 kJ per mole of atoms

Cell lengths 6.3963, 6.3963, 5.2359 Å; angles 90.00, 90.00, 120.00 degrees
Positions (direct):
Er 0.0000 0.0000 0.0000
Er 0.3388 0.1694 0.5000
Er 0.8306 0.1694 0.5000
Er 0.8306 0.6612 0.5000
Zn 0.3333 0.6667 0.5000
Zn 0.5145 0.0291 0.0000
Zn 0.5145 0.4855 0.0000
Zn 0.9709 0.4855 0.0000

Record 15
First-principles (PBE-GGA) data for a geometry-optimized ErZn5 structure, as listed in OQMD.

* crystal system: hexagonal
* energy of formation: -26 kJ per mole of atoms

Cell lengths 8.8404, 8.8404, 8.9885 Å; angles 90.00, 90.00, 120.00 degrees
Positions (direct):
Er 0.1905 0.3811 0.2500
Er 0.1905 0.8095 0.2500
Er 0.3811 0.1905 0.7500
Er 0.6189 0.8095 0.2500
Er 0.8095 0.1905 0.7500
Er 0.8095 0.6189 0.7500
Zn 0.0000 0.0000 0.0000
Zn 0.0000 0.0000 0.5000
Zn 0.0000 0.5000 0.0000
Zn 0.0000 0.5000 0.5000
Zn 0.1352 0.5676 0.7500
Zn 0.1596 0.3193 0.5938
Zn 0.1596 0.3193 0.9062
Zn 0.1596 0.8404 0.5938
Zn 0.1596 0.8404 0.9062
Zn 0.3193 0.1596 0.0938
Zn 0.3193 0.1596 0.4062
Zn 0.3333 0.6667 0.0167
Zn 0.3333 0.6667 0.4834
Zn 0.4324 0.5676 0.7500
Zn 0.4324 0.8648 0.7500
Zn 0.5000 0.0000 0.0000
Zn 0.5000 0.0000 0.5000
Zn 0.5000 0.5000 0.0000
Zn 0.5000 0.5000 0.5000
Zn 0.5676 0.1352 0.2500
Zn 0.5676 0.4324 0.2500
Zn 0.6667 0.3333 0.5167
Zn 0.6667 0.3333 0.9834
Zn 0.6807 0.8404 0.5938
Zn 0.6807 0.8404 0.9062
Zn 0.8404 0.1596 0.0938
Zn 0.8404 0.1596 0.4062
Zn 0.8404 0.6807 0.0938
Zn 0.8404 0.6807 0.4062
Zn 0.8648 0.4324 0.2500

Record 16
First-principles (PBE-GGA) data for a geometry-optimized ErZn structure, as listed in OQMD.

* crystal system: orthorhombic
* energy of formation: -22 kJ per mole of atoms

Cell lengths 4.8335, 9.6043, 9.6043 Å; angles 150.60, 90.00, 90.00 degrees
Positions (direct):
Er 0.0000 0.0000 0.0000
Er 0.0000 0.2007 0.8253
Er 0.0000 0.8253 0.2007
Er 0.5000 0.3428 0.6935
Er 0.5000 0.6935 0.3428
Zn 0.0000 0.4147 0.5853
Zn 0.0000 0.5853 0.4147
Zn 0.5000 0.1097 0.9391
Zn 0.5000 0.5205 0.5205
Zn 0.5000 0.9391 0.1097

Record 17
First-principles (PBE-GGA) data for a geometry-optimized ErZn2 structure, as listed in OQMD.

* crystal system: orthorhombic
* energy of formation: -38 kJ per mole of atoms

Cell lengths 5.5978, 5.5978, 5.5978 Å; angles 133.33, 102.81, 95.28 degrees
Positions (direct):
Er 0.2794 0.0294 0.2500
Er 0.7206 0.9706 0.7500
Zn 0.1237 0.6659 0.4577
Zn 0.2918 0.3341 0.9577
Zn 0.7082 0.6659 0.0423
Zn 0.8763 0.3341 0.5423

Record 18
First-principles (PBE-GGA) data for a geometry-optimized ErZn structure, as listed in OQMD.

* crystal system: hexagonal
* energy of formation: -5 kJ per mole of atoms

Cell lengths 3.4463, 3.4463, 4.6173 Å; angles 90.00, 90.00, 120.00 degrees
Positions (direct):
Er 0.0000 0.0000 0.0000
Zn 0.6667 0.3333 0.5000

Record 19
First-principles (PBE-GGA) data for a geometry-optimized ErZn structure, as listed in OQMD.

* crystal system: orthorhombic
* energy of formation: -6 kJ per mole of atoms

Cell lengths 4.6429, 7.3604, 5.1345 Å; angles 90.00, 90.00, 90.00 degrees
Positions (direct):
Er 0.0000 0.0000 0.0000
Er 0.0000 0.2935 0.5315
Er 0.0000 0.7065 0.5315
Er 0.5000 0.0000 0.4874
Zn 0.0000 0.5000 0.0325
Zn 0.5000 0.2733 0.9356
Zn 0.5000 0.5000 0.3396
Zn 0.5000 0.7267 0.9356

Record 20
First-principles (PBE-GGA) data for a geometry-optimized ErZn2 structure, as listed in OQMD.

* crystal system: cubic
* energy of formation: 20 kJ per mole of atoms

Cell lengths 4.6697, 4.6697, 4.6697 Å; angles 60.00, 60.00, 60.00 degrees
Positions (direct):
Er 0.0000 0.0000 0.0000
Zn 0.2500 0.2500 0.2500
Zn 0.7500 0.7500 0.7500

Record 21
First-principles (PBE-GGA) data for a geometry-optimized ErZn structure, as listed in OQMD.

* crystal system: cubic
* energy of formation: -5 kJ per mole of atoms

Cell lengths 4.1379, 4.1379, 4.1379 Å; angles 60.00, 60.00, 60.00 degrees
Positions (direct):
Er 0.0000 0.0000 0.0000
Zn 0.5000 0.5000 0.5000

Record 22
First-principles (PBE-GGA) data for a geometry-optimized ErZn5 structure, as listed in OQMD.

* crystal system: hexagonal
* energy of formation: -26 kJ per mole of atoms

Cell lengths 5.2424, 5.2424, 4.1721 Å; angles 90.00, 90.00, 120.00 degrees
Positions (direct):
Er 0.0000 0.0000 0.0000
Zn 0.0000 0.4914 0.5000
Zn 0.3333 0.6667 0.0000
Zn 0.4914 0.0000 0.5000
Zn 0.5086 0.5086 0.5000
Zn 0.6667 0.3333 0.0000

Record 23
First-principles (PBE-GGA) data for a geometry-optimized ErZn structure, as listed in OQMD.

* crystal system: orthorhombic
* energy of formation: -10 kJ per mole of atoms

Cell lengths 5.1744, 8.3407, 8.3407 Å; angles 141.77, 90.00, 90.00 degrees
Positions (direct):
Er 0.0000 0.0000 0.0000
Er 0.0000 0.4163 0.6383
Er 0.0000 0.6383 0.4163
Er 0.5000 0.0174 0.2488
Er 0.5000 0.2488 0.0174
Zn 0.0000 0.1976 0.7973
Zn 0.0000 0.7973 0.1976
Zn 0.5000 0.4519 0.8471
Zn 0.5000 0.6427 0.6427
Zn 0.5000 0.8471 0.4519

Record 24
First-principles (PBE-GGA) data for a geometry-optimized ErZn structure, as listed in OQMD.

* crystal system: orthorhombic
* energy of formation: -27 kJ per mole of atoms

Cell lengths 6.8190, 16.9676, 4.5919 Å; angles 90.00, 90.00, 90.00 degrees
Positions (direct):
Er 0.0257 0.1162 0.2500
Er 0.0257 0.3838 0.7500
Er 0.3355 0.0379 0.7500
Er 0.3355 0.4621 0.2500
Er 0.4618 0.6667 0.2500
Er 0.4618 0.8333 0.7500
Er 0.5382 0.1667 0.2500
Er 0.5382 0.3333 0.7500
Er 0.6645 0.5379 0.7500
Er 0.6645 0.9621 0.2500
Er 0.9743 0.6162 0.2500
Er 0.9743 0.8838 0.7500
Zn 0.1551 0.7105 0.7500
Zn 0.1551 0.7895 0.2500
Zn 0.2247 0.5607 0.7500
Zn 0.2247 0.9393 0.2500
Zn 0.2334 0.2077 0.7500
Zn 0.2334 0.2923 0.2500
Zn 0.7666 0.7077 0.7500
Zn 0.7666 0.7923 0.2500
Zn 0.7753 0.0607 0.7500
Zn 0.7753 0.4393 0.2500
Zn 0.8449 0.2105 0.7500
Zn 0.8449 0.2895 0.2500